1.
16
Lattice="-6.815 0.816 -4.517 -0.132 -8.091 -1.262 0.235 2.974 7.655" Properties=species:S:1:pos:R:3 comment="Er8SbAs3Se4 | the Alexandria database | PBE | relaxed" crystal_system=trigonal dft_energy_ev_per_atom=-5.876 space_group="No. 166" pbc="T T T"
Er -5.062 -3.891 -0.538
Er -1.650 -0.410 2.415
Er -1.599 -2.874 5.494
Er -5.113 -1.427 -3.617
Er -4.999 0.005 0.071
Er -4.882 -2.481 3.318
Er -1.712 -4.306 1.806
Er -1.829 -1.820 -1.441
Se 0.000 0.000 0.000
Se 0.117 1.487 3.828
Se -3.290 1.895 1.569
Se -3.407 0.408 -2.258
As -3.473 -3.638 -2.889
As 0.051 -2.559 3.197
As -3.356 -2.151 0.939
Sb -0.066 -4.046 -0.631

***

2.
12
Lattice="4.203 0.000 0.000 0.000 8.443 0.279 -2.101 -2.455 8.854" Properties=species:S:1:pos:R:3 comment="Er6Sb3As2Se | the Alexandria database | PBE | relaxed" crystal_system=monoclinic dft_energy_ev_per_atom=-5.725 space_group="No. 12" pbc="T T T"
Er 0.000 1.988 5.948
Er 2.101 -0.010 2.970
Er 2.101 3.921 8.973
Er 0.000 5.999 6.163
Er 0.000 2.067 0.160
Er 2.101 4.000 3.186
Sb 2.101 4.222 0.140
Sb 0.000 6.227 3.148
Sb 2.101 -0.238 5.985
As 2.101 4.002 6.091
As 0.000 1.986 3.042
Se 2.101 0.000 0.000

***

3.
4
Lattice="-3.647 -2.111 -0.656 -2.181 -1.569 3.312 -5.527 4.811 1.385" Properties=species:S:1:pos:R:3 comment="SmErSbAs | the Alexandria database | PBE | relaxed" crystal_system=trigonal dft_energy_ev_per_atom=-5.823 space_group="No. 160" pbc="T T T"
Sm -5.889 -3.576 2.665
Er -5.616 0.463 2.012
Sb -8.487 0.800 3.027
As -2.867 0.330 1.014

***

4.
8
Lattice="-0.201 3.901 1.507 -6.551 -1.484 2.966 0.960 -2.549 6.726" Properties=species:S:1:pos:R:3 comment="Er4SbTeAs2 | the Alexandria database | PBE | relaxed" crystal_system=monoclinic dft_energy_ev_per_atom=-5.741 space_group="No. 10" pbc="T T T"
Sb -2.795 -2.017 4.846
Er -1.422 2.897 3.943
Er -4.371 -3.029 7.257
Er -4.916 0.177 4.700
Er -0.876 -0.310 6.500
As 0.379 0.676 4.116
As 0.960 -2.549 6.726
Te -3.376 1.208 2.237

***

no.,total magnetization (μB per formula unit),DOS(E_F) (states/eV/f.u.)
1,0.0,6.4
2,0.0,2.1
3,0.0,0.7
4,0.0,1.4